Entry 1:
Compound: PPdRuN
Source: the Alexandria database
Functional: PBE
Structure: relaxed

Structure (CIF):
```
data_PPdRuN
_chemical_formula_sum 'P1 Pd1 Ru1 N1'
_cell_length_a 3.530
_cell_length_b 3.877
_cell_length_c 4.301
_cell_angle_alpha 106.54
_cell_angle_beta 103.56
_cell_angle_gamma 96.80
_symmetry_space_group_name_H-M 'P 1'
_symmetry_Int_Tables_number 1
_symmetry_space_group_name_Hall 'P 1'
loop_
_atom_site_label
_atom_site_fract_x
_atom_site_fract_y
_atom_site_fract_z
P1 0.000 0.000 0.000
Pd1 0.548 0.675 0.177
Ru1 0.872 0.361 0.656
N1 0.287 0.288 0.399
```

VASP energy = -6.9463 eV per atom
energy above the lowest structure with this stoichiometry = 38 meV/atom
ΔE_f (raw) = 40 kJ/mol of formula units
V = 13.4 Å³/atom
density of states at the Fermi level = 1.52 states/eV/f.u.



Entry 2:
Compound: TcHg2Cl
Source: the Alexandria database
Functional: PBE
Structure: relaxed

Structure (CIF):
```
data_TcHg2Cl
_chemical_formula_sum 'Tc1 Hg2 Cl1'
_cell_length_a 3.219
_cell_length_b 4.845
_cell_length_c 5.626
_cell_angle_alpha 90.00
_cell_angle_beta 90.00
_cell_angle_gamma 90.00
_symmetry_space_group_name_H-M 'P m m m'
_symmetry_Int_Tables_number 47
_symmetry_space_group_name_Hall '-P 2 2'
loop_
_atom_site_label
_atom_site_fract_x
_atom_site_fract_y
_atom_site_fract_z
Tc1 0.000 0.000 0.000
Hg1 0.000 0.500 0.500
Hg2 0.500 0.000 0.500
Cl1 0.500 0.500 0.000
```

VASP energy = -2.5842 eV per atom
energy above the lowest structure with this stoichiometry = 410 meV/atom
ΔE_f (raw) = 239 kJ/mol of formula units
V = 21.9 Å³/atom
density of states at the Fermi level = 2.56 states/eV/f.u.



Entry 3:
Compound: CsTa2TiBe
Source: the Alexandria database
Functional: PBE
Structure: relaxed

Structure (CIF):
```
data_CsTa2TiBe
_chemical_formula_sum 'Cs1 Ta2 Ti1 Be1'
_cell_length_a 4.863
_cell_length_b 4.863
_cell_length_c 5.998
_cell_angle_alpha 90.00
_cell_angle_beta 90.00
_cell_angle_gamma 90.00
_symmetry_space_group_name_H-M 'P 4/m m m'
_symmetry_Int_Tables_number 123
_symmetry_space_group_name_Hall '-P 4 2'
loop_
_atom_site_label
_atom_site_fract_x
_atom_site_fract_y
_atom_site_fract_z
Cs1 0.000 0.000 0.000
Ta1 0.000 0.500 0.500
Ti1 0.000 0.000 0.500
Be1 0.500 0.500 0.000
```

VASP energy = -5.0025 eV per atom
energy relative to the elements = 11.17 eV/f.u.
V = 28.4 Å³/atom
density of states at the Fermi level = 6.62 states/eV/f.u.



> The lowest VASP energy belongs to which entry?

PPdRuN



> What is the formula in the third record?

CsTa2TiBe



> Among the records above, which one has the lowest V?

PPdRuN